Entry from Alexandria via LeMat-Bulk: a geometry-optimized EuPuTe2 structure (PBE).

Structure (CIF):
```
data_EuPuTe2
_chemical_formula_sum 'Eu1 Pu1 Te2'
_cell_length_a 5.522
_cell_length_b 5.522
_cell_length_c 3.870
_cell_angle_alpha 90.00
_cell_angle_beta 90.00
_cell_angle_gamma 90.00
_symmetry_space_group_name_H-M 'P 4/m m m'
_symmetry_Int_Tables_number 123
_symmetry_space_group_name_Hall '-P 4 2'
loop_
_atom_site_label
_atom_site_type_symbol
_atom_site_fract_x
_atom_site_fract_y
_atom_site_fract_z
Eu1 Eu 0.000 0.000 0.000
Pu1 Pu 0.500 0.500 0.000
Te1 Te 0.000 0.500 0.500
```

Summary:
polymorph energy (0 for the lowest one): 0 meV per atom
uncorrected energy: -35.57 eV per cell
crystal system: tetragonal
energy relative to the elements, uncorrected: -26.969 kcal/mol of atoms